Entry from Alexandria via LeMat-Bulk: a geometry-optimized YbH3CN3 structure (PBE-GGA).

Cell lengths 5.3652, 5.3652, 6.7023 Å; angles 90.00, 90.00, 120.00 degrees
With the nearest neighbours (Å) after each atom.
Sites, in units of the cell vectors:
Yb: 0.0000 0.0000 0.0000  6 N 2.53
Yb: 0.0000 0.0000 0.5000  6 N 2.53
H: 0.0781 0.5898 0.2500  1 N 1.03
H: 0.4102 0.4884 0.2500  1 N 1.03
H: 0.4884 0.0781 0.7500  1 N 1.03
H: 0.5116 0.9219 0.2500  1 N 1.03
H: 0.5898 0.5116 0.7500  1 N 1.03
H: 0.9219 0.4102 0.7500  1 N 1.03
C: 0.3333 0.6667 0.7500  3 N 1.37
C: 0.6667 0.3333 0.2500  3 N 1.37
N: 0.1039 0.3924 0.7500  1 H 1.03
N: 0.2885 0.8961 0.7500  1 H 1.03
N: 0.3924 0.2885 0.2500  1 H 1.03
N: 0.6076 0.7115 0.7500  1 H 1.03
N: 0.7115 0.1039 0.2500  1 H 1.03
N: 0.8961 0.6076 0.2500  1 H 1.03

Summary:
VASP energy: -6.260 eV/atom
Volume: 10.443 Å³ per atom
Space group: P6_3/m (176)